Entry 1:
The following is a PBE calculation of a relaxed BaCd2Fe crystal, from the Alexandria database.

Structure (POSCAR):
```
BaCd2Fe
1.0
-4.4933 -3.9731 -0.1320
4.6345 -1.2485 3.5993
-1.4676 1.5788 2.4374
Ba Cd Fe
1 2 1
Direct
0.0000 0.5000 0.5000
0.0000 0.0000 0.0000
0.5000 0.5000 0.0000
0.5000 0.0000 0.5000
```

## Properties
Size of the total moment ... 2.631 Bohr magnetons per cell
Energy of formation ... 0.54 eV per atom
N(E_F) ... 4.383 states/eV/cell

***

Entry 2:
The following is a PBE calculation of a relaxed BaCdFe2 crystal, from the Alexandria database.

Structure (POSCAR):
```
BaCdFe2
1.0
4.1243 -0.0212 0.0041
2.0810 3.5609 0.0041
2.0606 1.1754 6.5580
Ba Cd Fe
1 1 2
Direct
0.4842 0.4842 0.5468
0.2926 0.2926 0.1226
0.0279 0.0279 0.9165
0.6953 0.6953 0.9141
```

## Properties
Size of the total moment ... 3.680 Bohr magnetons per cell
Energy of formation ... 0.36 eV per atom
N(E_F) ... 4.690 states/eV/cell

***

Entry 3:
The following is a PBE calculation of a relaxed BaCdFe2 crystal, from the Alexandria database.

Structure (POSCAR):
```
BaCdFe2
1.0
0.5785 -0.9485 4.9023
-3.8214 -1.8915 2.6620
0.1847 -4.7492 1.6364
Fe Ba Cd
2 1 1
Direct
0.2500 0.2500 0.2500
0.7500 0.7500 0.7500
0.5000 0.5000 0.5000
0.0000 0.0000 0.0000
```

## Properties
Size of the total moment ... 5.550 Bohr magnetons per cell
Energy of formation ... 0.84 eV per atom
N(E_F) ... 10.581 states/eV/cell

***

Entry 4:
The following is a PBE calculation of a relaxed BaCd2Fe crystal, from the Alexandria database.

Structure (POSCAR):
```
BaCd2Fe
1.0
-2.7744 3.5553 4.9214
-4.3390 -0.8637 4.9985
-0.0772 0.1438 6.6732
Ba Cd Fe
1 2 1
Direct
0.7500 0.7500 0.7500
0.9505 0.9505 0.9505
0.5495 0.5495 0.5495
0.2500 0.2500 0.2500
```

## Properties
Size of the total moment ... 2.463 Bohr magnetons per cell
Energy of formation ... 0.17 eV per atom
N(E_F) ... 3.252 states/eV/cell

***

Entry 5:
The following is a PBE calculation of a relaxed BaCdFe2 crystal, from the Alexandria database.

Structure (POSCAR):
```
BaCdFe2
1.0
4.7560 0.0000 0.0000
0.0000 3.2329 -0.0148
0.0000 0.8475 6.4112
Ba Cd Fe
1 1 2
Direct
0.5000 0.2500 0.2500
0.5000 0.7500 0.7500
0.0000 0.9749 0.8851
0.0000 0.5251 0.6149
```

## Properties
Size of the total moment ... 5.529 Bohr magnetons per cell
Energy of formation ... 0.59 eV per atom
N(E_F) ... 4.164 states/eV/cell

***

Entry 6:
The following is a PBE calculation of a relaxed BaCd2Fe crystal, from the Alexandria database.

Structure (POSCAR):
```
BaCd2Fe
1.0
4.6708 0.0000 0.0000
0.0000 4.0972 -0.0115
0.0000 1.8297 5.8971
Ba Cd Fe
1 2 1
Direct
0.5000 0.7500 0.7500
0.0000 0.0845 0.0681
0.0000 0.4155 0.4319
0.5000 0.2500 0.2500
```

## Properties
Size of the total moment ... 2.443 Bohr magnetons per cell
Energy of formation ... 0.30 eV per atom
N(E_F) ... 3.707 states/eV/cell